# 1
KIn2Rh | Alexandria | GGA-PBE | relaxed; energy of formation from the pure elements = -0.142 eV/atom; Fermi-level density of states = 0.761 states/eV/atom; crystal system = trigonal
1.0
2.305 1.331 6.346
-2.305 1.331 6.346
0.000 -2.662 6.346
K In Rh
1 2 1
Direct
0.000 0.000 0.000 K
0.203 0.203 0.203 In
0.797 0.797 0.797 In
0.500 0.500 0.500 Rh

# 2
Na4SnSb2 | Alexandria | GGA-PBE | relaxed; E above lowest polymorph = 0.000 eV/atom; Fermi-level density of states = 0.413 states/eV/atom; uncorrected formation energy = -1.387 eV/f.u.; crystal system = trigonal
1.0
2.647 1.529 9.813
-2.647 1.529 9.813
0.000 -3.057 9.813
Na Sn Sb
4 1 2
Direct
0.110 0.110 0.110 Na
0.292 0.292 0.292 Na
0.708 0.708 0.708 Na
0.890 0.890 0.890 Na
0.500 0.500 0.500 Sn
0.404 0.404 0.404 Sb
0.596 0.596 0.596 Sb

# 3
BeReBr | Alexandria | GGA-PBE | relaxed; E above lowest polymorph = 0.488 eV/atom; Fermi-level density of states = 1.020 states/eV/atom; uncorrected formation energy = 3.599 eV/f.u.; crystal system = trigonal
1.0
4.362 0.000 0.000
-2.181 3.777 0.000
0.000 0.000 2.787
Be Re Br
1 1 1
Direct
0.000 0.000 0.000 Be
0.667 0.333 0.497 Re
0.333 0.667 0.497 Br